1.
Density functional theory data (PBE) for a geometry-optimized Ho2PaTl structure.

a b c (Å): 3.2960 3.2960 35.6888
angles (deg): 90.00 90.00 120.00
Space group R-3m (No. 166, hexagonal axes)
Asymmetric unit:
Ho  0.0000  0.0000  0.0907 [6 per cell]
Pa  0.0000  0.0000  0.0000 [3 per cell]
Tl  0.0000  0.0000  0.5000 [3 per cell]

Calculated values
Total DFT energy (no corrections) (eV/cell): -60.5
Energy of formation from the pure elements (meV per atom): 214
Volume (Å³/atom): 27.98

---

2.
Density functional theory data (PBE) for a geometry-optimized HoPaTl2 structure.

a b c (Å): 7.590 7.590 7.590
angles (deg): 90.00 90.00 90.00
Space group Fm-3m (No. 225)
Asymmetric unit:
Ho  0.000  0.000  0.000 [4 per cell]
Pa  0.000  0.000  0.500 [4 per cell]
Tl  0.250  0.250  0.250 [8 per cell]

Calculated values
Total DFT energy (no corrections) (eV/cell): -74.1
Energy of formation from the pure elements (meV per atom): 70
Volume (Å³/atom): 27.33

---

3.
Density functional theory data (PBE) for a geometry-optimized HoPaTl2 structure.

a b c (Å): 4.900 4.900 4.504
angles (deg): 90.00 90.00 90.00
Space group P4/mmm (No. 123)
Asymmetric unit:
Ho  0.000  0.000  0.000 [1 per cell]
Pa  0.500  0.500  0.000 [1 per cell]
Tl  0.000  0.500  0.500 [2 per cell]

Calculated values
Total DFT energy (no corrections) (eV/cell): -18.7
Energy of formation from the pure elements (meV per atom): 37
Volume (Å³/atom): 27.03

---

4.
Density functional theory data (PBE) for a geometry-optimized HoPaTl2 structure.

a b c (Å): 3.407 3.407 9.102
angles (deg): 90.00 90.00 90.00
Space group P4/mmm (No. 123)
Asymmetric unit:
Ho  0.000  0.000  0.000 [1 per cell]
Pa  0.000  0.000  0.500 [1 per cell]
Tl  0.500  0.500  0.245 [2 per cell]

Calculated values
Total DFT energy (no corrections) (eV/cell): -18.9
Energy of formation from the pure elements (meV per atom): -28
Volume (Å³/atom): 26.41

---

Computed offset from the most stable computed form, in the same sequence as the records: 277, 97, 65, 0 meV/atom.
Computed DOS at the Fermi energy, in the same sequence as the records: 14.99, 35.63, 6.48, 6.16 states/eV/cell.